! PBE-GGA LaPm2Sn, optimized geometry; values from VASP
&SYSTEM
  ibrav = 0, nat = 4, ntyp = 3
/
ATOMIC_SPECIES
Pm 145.00 Pm.upf
La 138.91 La.upf
Sn 118.71 Sn.upf
ATOMIC_POSITIONS angstrom
Pm 8.3258 4.8069 3.3990
La 5.5505 3.2046 2.2660
Pm 2.7753 1.6023 1.1330
Sn 0.0000 0.0000 0.0000
CELL_PARAMETERS angstrom
5.5505 0.0000 0.0000
2.7753 4.8069 0.0000
2.7753 1.6023 4.5320
! energy = -4.876 eV per atom
! formation enthalpy at 0 K = -268 meV per atom
! polymorph energy (0 for the lowest one) = 192 meV per atom
! magnetic moment = 0.000 μB/cell